Entry 1:
A relaxed structure of MgSeBrN2, computed with PBE.

abc: 3.825 3.825 7.571
angles: 90.00 90.00 90.00
Sites, in units of the cell vectors:
Se (0.000, 0.000, 0.500)
Br (0.000, 0.000, 0.000)
N (0.000, 0.500, 0.000)
Mg (0.500, 0.500, 0.500)
N (0.500, 0.000, 0.000)

raw formation energy	1546	meV per atom
E_tot	-3.13	eV/atom
DOS(E_F)	2.5	states/eV/f.u.
SG	P4/mmm, No. 123

=====

Entry 2:
A relaxed structure of MgSeBr2N, computed with PBE.

abc: 4.532 4.532 4.893
angles: 90.00 90.00 90.00
Sites, in units of the cell vectors:
Br (0.000, 0.500, 0.000)
Mg (0.500, 0.500, 0.500)
N (0.000, 0.000, 0.000)
Br (0.500, 0.000, 0.000)
Se (0.000, 0.000, 0.500)

raw formation energy	535	meV per atom
offset from the most stable computed form	0	meV per atom
E_tot	-2.82	eV/atom
DOS(E_F)	1.0	states/eV/f.u.
SG	P4/mmm, No. 123

=====

Entry 3:
A relaxed structure of MgSe2BrN, computed with PBE.

abc: 5.321 5.321 3.782
angles: 90.00 90.00 90.00
Sites, in units of the cell vectors:
Br (0.000, 0.000, 0.000)
Se (0.500, 0.000, 0.000)
Mg (0.500, 0.500, 0.500)
N (0.000, 0.000, 0.500)
Se (0.000, 0.500, 0.000)

raw formation energy	1037	meV per atom
offset from the most stable computed form	488	meV per atom
E_tot	-2.68	eV/atom
DOS(E_F)	3.9	states/eV/f.u.
SG	P4/mmm, No. 123

=====

Entry 4:
A relaxed structure of MgSeBr2N, computed with PBE.

abc: 5.322 5.322 5.357
angles: 90.00 90.00 90.00
Sites, in units of the cell vectors:
N (0.500, 0.500, 0.500)
Br (0.500, 0.000, 0.000)
Br (0.000, 0.500, 0.000)
Mg (0.000, 0.000, 0.000)
Se (0.000, 0.000, 0.500)

raw formation energy	672	meV per atom
offset from the most stable computed form	138	meV per atom
E_tot	-2.68	eV/atom
DOS(E_F)	1.6	states/eV/f.u.
SG	P4/mmm, No. 123

=====

Entry 5:
A relaxed structure of MgSe2BrN, computed with PBE.

abc: 5.219 5.219 5.375
angles: 90.00 90.00 90.00
Sites, in units of the cell vectors:
N (0.500, 0.500, 0.500)
Se (0.000, 0.500, 0.000)
Br (0.000, 0.000, 0.500)
Se (0.500, 0.000, 0.000)
Mg (0.000, 0.000, 0.000)

raw formation energy	983	meV per atom
offset from the most stable computed form	434	meV per atom
E_tot	-2.73	eV/atom
DOS(E_F)	3.3	states/eV/f.u.
SG	P4/mmm, No. 123

=====

Entry 6:
A relaxed structure of MgSe2BrN, computed with PBE.

abc: 4.533 4.533 4.576
angles: 90.00 90.00 90.00
Sites, in units of the cell vectors:
Se (0.000, 0.500, 0.000)
Se (0.500, 0.000, 0.000)
N (0.000, 0.000, 0.000)
Br (0.000, 0.000, 0.500)
Mg (0.500, 0.500, 0.500)

raw formation energy	549	meV per atom
offset from the most stable computed form	0	meV per atom
E_tot	-3.16	eV/atom
DOS(E_F)	1.9	states/eV/f.u.
SG	P4/mmm, No. 123